Material: La2Te
Method: DFT, PBE-GGA
State: relaxed

Values from the calculation:
mass density = 6.80 g cm⁻³
formation energy without anion corrections = -0.94 eV/atom

a b c (Å): 7.406 7.406 7.222
angles (deg): 90.00 90.00 90.00
Space group I-42d (No. 122)
Asymmetric unit:
La 0.152 0.250 0.125 [8 per cell]
Te 0.000 0.000 0.500 [4 per cell]

---

Material: Pm12ZrSi7
Method: DFT, PBE-GGA
State: relaxed

Values from the calculation:
mass density = 5.47 g cm⁻³
formation energy without anion corrections = -0.34 eV/atom

a b c (Å): 14.6118 14.6118 9.9801
angles (deg): 90.00 90.00 120.00
Space group R-3 (No. 148, hexagonal axes)
Asymmetric unit:
Pm 0.0231 0.4366 0.1615 [18 per cell]
Pm 0.0479 0.8660 0.8336 [18 per cell]
Zr 0.0000 0.0000 0.5000 [3 per cell]
Si 0.0000 0.0000 0.0000 [3 per cell]
Si 0.0454 0.8726 0.3397 [18 per cell]

---

Material: La14PrZn
Method: DFT, PBE-GGA
State: relaxed

Values from the calculation:
formation energy = -13 meV/atom
mass density = 6.41 g cm⁻³

a b c (Å): 7.330 7.330 10.372
angles (deg): 90.00 90.00 90.00
Space group P4/mmm (No. 123)
Asymmetric unit:
La 0.000 0.000 0.000 [1 per cell]
La 0.000 0.500 0.000 [2 per cell]
La 0.000 0.500 0.500 [2 per cell]
La 0.239 0.239 0.259 [8 per cell]
La 0.500 0.500 0.000 [1 per cell]
Pr 0.500 0.500 0.500 [1 per cell]
Zn 0.000 0.000 0.500 [1 per cell]

---

Material: Ba2NaCaAs
Method: DFT, PBE-GGA
State: relaxed

Values from the calculation:
formation energy = -480 meV/atom
mass density = 2.80 g cm⁻³

a b c (Å): 6.525 6.525 5.753
angles (deg): 90.00 90.00 90.00
Space group P4/mmm (No. 123)
Asymmetric unit:
Ba 0.000 0.500 0.000 [2 per cell]
Na 0.000 0.000 0.500 [1 per cell]
Ca 0.500 0.500 0.500 [1 per cell]
As 0.500 0.500 0.000 [1 per cell]